1.
A relaxed Sr2CrAs4Pt3 crystal, computed with PBE.

Properties
Formation energy: -0.7142 eV/atom

a b c (Å): 4.408 4.408 10.483
angles (deg): 90.00 90.00 90.00
Fractional coordinates of all 10 atoms:
Pt 0.000 0.000 0.500
Pt 0.500 0.000 0.877
Pt 0.000 0.500 0.123
As 0.500 0.500 0.000
As 0.000 0.000 0.000
As 0.500 0.000 0.634
As 0.000 0.500 0.366
Cr 0.500 0.500 0.500
Sr 0.000 0.500 0.754
Sr 0.500 0.000 0.246

2.
A relaxed Tl2SbF5 crystal, computed with PBE.

Properties
Formation energy without anion corrections: -2.080 eV per atom
Excess energy over the best structure of this formula in the dataset: 50 meV/atom

a b c (Å): 6.507 6.507 6.236
angles (deg): 121.44 121.45 90.00
Fractional coordinates of all 8 atoms:
F 0.202 0.202 0.954
F 0.787 0.787 0.574
F 0.202 0.751 0.953
F 0.751 0.202 0.953
F 0.751 0.751 0.953
Tl 0.281 0.781 0.562
Tl 0.781 0.281 0.562
Sb 0.021 0.021 0.042

3.
A relaxed MnAs2SBr crystal, computed with PBE.

Properties
Formation energy without anion corrections: 0.523 eV per atom
Excess energy over the best structure of this formula in the dataset: 0 meV/atom

a b c (Å): 4.756 4.756 4.626
angles (deg): 90.00 90.00 90.00
Fractional coordinates of all 5 atoms:
As 0.000 0.500 0.000
As 0.500 0.000 0.000
Br 0.000 0.000 0.500
Mn 0.000 0.000 0.000
S 0.500 0.500 0.500

M_tot readings, ordered: 3.3, 0.0, 1.8 μB/f.u.